Entry 1:
DFT (PBE) results for a geometry-optimized AcTbNd2S6 structure.

a b c (Å): 7.590 7.590 7.590
angles (deg): 56.94 56.94 56.94
Fractional positions:
1 Ac 0.000 0.000 0.000
2 Tb 0.490 0.490 0.490
3 Nd 0.284 0.284 0.284
4 Nd 0.790 0.790 0.790
5 S 0.094 0.663 0.413
6 S 0.198 0.589 0.879
7 S 0.413 0.094 0.663
8 S 0.589 0.879 0.198
9 S 0.663 0.413 0.094
10 S 0.879 0.198 0.589

Values from the calculation:
- ΔE_f (raw): -20.45 eV per formula unit

***

Entry 2:
DFT (PBE) results for a geometry-optimized ZrTaAg4 structure.

a b c (Å): 5.448 5.448 5.448
angles (deg): 60.00 60.00 60.00
Fractional positions:
1 Zr 0.000 0.000 0.000
2 Ta 0.250 0.250 0.250
3 Ag 0.125 0.625 0.625
4 Ag 0.625 0.125 0.625
5 Ag 0.625 0.625 0.125
6 Ag 0.625 0.625 0.625

Values from the calculation:
- Formation energy: 0.392 eV per atom

***

Entry 3:
DFT (PBE) results for a geometry-optimized Sm3Dy2Th3 structure.

a b c (Å): 5.049 5.098 10.141
angles (deg): 90.00 90.00 90.00
Fractional positions:
1 Sm 0.000 0.000 0.000
2 Sm 0.000 0.000 0.500
3 Sm 0.500 0.500 0.000
4 Dy 0.500 0.000 0.253
5 Dy 0.500 0.000 0.747
6 Th 0.000 0.500 0.253
7 Th 0.000 0.500 0.747
8 Th 0.500 0.500 0.500

Values from the calculation:
- Formation energy: 0.053 eV per atom

***

Entry 4:
DFT (PBE) results for a geometry-optimized AcNdNiPt structure.

a b c (Å): 4.531 5.847 5.847
angles (deg): 40.50 90.00 90.00
Fractional positions:
1 Ac 0.000 0.000 0.000
2 Nd 0.500 0.725 0.725
3 Ni 0.000 0.277 0.277
4 Pt 0.500 0.437 0.437

Values from the calculation:
- Formation energy: -0.705 eV per atom

***

Entry 5:
DFT (PBE) results for a geometry-optimized HfUMoIr structure.

a b c (Å): 4.740 4.740 4.740
angles (deg): 60.00 60.00 60.00
Fractional positions:
1 Hf 0.000 0.000 0.000
2 U 0.500 0.500 0.500
3 Mo 0.250 0.250 0.250
4 Ir 0.750 0.750 0.750

Values from the calculation:
- Formation energy: -0.264 eV per atom

***

Entry 6:
DFT (PBE) results for a geometry-optimized NdDy2Er9 structure.

a b c (Å): 4.988 4.988 14.954
angles (deg): 90.00 90.00 90.00
Fractional positions:
1 Nd 0.000 0.000 0.000
2 Dy 0.000 0.000 0.334
3 Dy 0.000 0.000 0.666
4 Er 0.000 0.500 0.169
5 Er 0.000 0.500 0.500
6 Er 0.000 0.500 0.831
7 Er 0.500 0.000 0.169
8 Er 0.500 0.000 0.500
9 Er 0.500 0.000 0.831
10 Er 0.500 0.500 0.000
11 Er 0.500 0.500 0.335
12 Er 0.500 0.500 0.665

Values from the calculation:
- Formation energy: 0.024 eV per atom